No. 1
A plane-wave DFT calculation with PBE-GGA was carried out for a relaxed SmY6Tm2Sc3 crystal.

```
SmY6Tm2Sc3
1.0
-2.772 3.318 4.242
0.511 -5.994 0.704
10.640 2.356 3.674
Y Sm Tm Sc
6 1 2 3
Direct
0.248 0.248 0.741 Y
0.914 0.580 0.741 Y
0.420 0.086 0.259 Y
0.580 0.914 0.741 Y
0.752 0.752 0.259 Y
0.086 0.420 0.259 Y
0.000 0.000 0.000 Sm
0.333 0.667 0.000 Tm
0.667 0.333 0.000 Tm
0.500 0.500 0.500 Sc
0.167 0.833 0.500 Sc
0.833 0.167 0.500 Sc
```

Computed properties:
The value obtained for the calculated total energy is -5.900 eV/atom. As for the formation energy: 0.053 eV per atom. As for the total magnetization: 0.00 μB per formula unit. As for the theoretical density: 5.3 g/cm3.

***

No. 2
A plane-wave DFT calculation with PBE-GGA was carried out for a relaxed DyZn6Au3 crystal.

```
DyZn6Au3
1.0
4.000 0.000 0.000
0.000 8.466 -2.140
0.000 0.045 10.853
Dy Au Zn
2 6 12
Direct
0.250 0.012 0.239 Dy
0.750 0.988 0.761 Dy
0.250 0.874 0.924 Au
0.750 0.126 0.076 Au
0.750 0.696 0.561 Au
0.250 0.648 0.178 Au
0.250 0.304 0.439 Au
0.750 0.352 0.822 Au
0.250 0.903 0.533 Zn
0.750 0.660 0.797 Zn
0.250 0.589 0.405 Zn
0.750 0.796 0.340 Zn
0.250 0.340 0.203 Zn
0.750 0.442 0.076 Zn
0.250 0.558 0.924 Zn
0.250 0.217 0.932 Zn
0.750 0.411 0.595 Zn
0.250 0.204 0.660 Zn
0.750 0.783 0.068 Zn
0.750 0.097 0.467 Zn
```

Computed properties:
The value obtained for the calculated total energy is -2.473 eV/atom. As for the formation energy: -0.265 eV per atom. As for the total magnetization: 0.00 μB per formula unit. As for the theoretical density: 10.3 g/cm3.

***

No. 3
A plane-wave DFT calculation with PBE-GGA was carried out for a relaxed CsBa2SrTl crystal.

```
CsBa2SrTl
1.0
6.878 0.000 0.000
0.000 7.282 0.000
0.000 0.000 6.878
Cs Sr Ba Tl
1 1 2 1
Direct
0.000 0.500 0.000 Cs
0.500 0.500 0.500 Sr
0.000 0.000 0.500 Ba
0.500 0.000 0.000 Ba
0.000 0.000 0.000 Tl
```

Computed properties:
The value obtained for the calculated total energy is -1.648 eV/atom. As for the formation energy: 0.101 eV per atom. As for the total magnetization: 0.39 μB per formula unit. As for the theoretical density: 3.4 g/cm3. The value obtained for the offset from the most stable computed form is 0.150 eV per atom.

***

Question: What is the calculated total energy in the first record?
Answer: -5.900 eV/atom

***

Question: Which value of theoretical density does entry 2 give?
Answer: 10.3 g/cm3

***

Question: What is the theoretical density in the first record?
Answer: 5.3 g/cm3

***

Copy entry 1 word for word.
A plane-wave DFT calculation with PBE-GGA was carried out for a relaxed SmY6Tm2Sc3 crystal.

```
SmY6Tm2Sc3
1.0
-2.772 3.318 4.242
0.511 -5.994 0.704
10.640 2.356 3.674
Y Sm Tm Sc
6 1 2 3
Direct
0.248 0.248 0.741 Y
0.914 0.580 0.741 Y
0.420 0.086 0.259 Y
0.580 0.914 0.741 Y
0.752 0.752 0.259 Y
0.086 0.420 0.259 Y
0.000 0.000 0.000 Sm
0.333 0.667 0.000 Tm
0.667 0.333 0.000 Tm
0.500 0.500 0.500 Sc
0.167 0.833 0.500 Sc
0.833 0.167 0.500 Sc
```

Computed properties:
The value obtained for the calculated total energy is -5.900 eV/atom. As for the formation energy: 0.053 eV per atom. As for the total magnetization: 0.00 μB per formula unit. As for the theoretical density: 5.3 g/cm3.